Entry 1:
A relaxed Rb2Cd12PbAu3 crystal, computed with PBE.

Unit cell a=9.4660 b=9.4660 c=9.4660 alpha=62.57 beta=62.57 gamma=62.57
Last column: nearest neighbours and their distance in Å.
Fractional coordinates of all 18 atoms:
Au (0.0000, 0.5000, 0.0000)  6 Cd 2.78-2.83
Au (0.0000, 0.0000, 0.5000)  6 Cd 2.78-2.83
Au (0.5000, 0.0000, 0.0000)  6 Cd 2.78-2.83
Cd (0.6282, 0.1230, 0.1230)  1 Au 2.83, 1 Pb 2.97, 2 Cd 3.02
Cd (0.1230, 0.1230, 0.6282)  1 Au 2.83, 1 Pb 2.97, 2 Cd 3.02
Cd (0.0083, 0.6678, 0.6678)  2 Au 2.78, 2 Cd 3.02
Cd (0.9917, 0.3322, 0.3322)  2 Au 2.78, 2 Cd 3.02
Cd (0.3322, 0.3322, 0.9917)  2 Au 2.78, 2 Cd 3.02
Cd (0.3718, 0.8770, 0.8770)  1 Au 2.83, 1 Pb 2.97, 2 Cd 3.02
Cd (0.1230, 0.6282, 0.1230)  1 Au 2.83, 1 Pb 2.97, 2 Cd 3.02
Cd (0.3322, 0.9917, 0.3322)  2 Au 2.78, 2 Cd 3.02
Cd (0.8770, 0.8770, 0.3718)  1 Au 2.83, 1 Pb 2.97, 2 Cd 3.02
Cd (0.6678, 0.6678, 0.0083)  2 Au 2.78, 2 Cd 3.02
Cd (0.6678, 0.0083, 0.6678)  2 Au 2.78, 2 Cd 3.02
Cd (0.8770, 0.3718, 0.8770)  1 Au 2.83, 1 Pb 2.97, 2 Cd 3.02
Rb (0.6019, 0.6019, 0.6019)  6 Cd 3.76-3.91
Rb (0.3981, 0.3981, 0.3981)  6 Cd 3.76-3.91
Pb (0.0000, 0.0000, 0.0000)  6 Cd 2.97

Output
ΔH_f (0 K)	0.08	eV per atom
magnetic moment	0.00	Bohr magnetons per cell
symmetry	No. 166

Entry 2:
A relaxed RbCd2PbAu crystal, computed with PBE.

Unit cell a=4.9501 b=4.9232 c=7.1786 alpha=110.05 beta=110.17 gamma=90.00
Last column: nearest neighbours and their distance in Å.
Fractional coordinates of all 5 atoms:
Pb (0.1995, 0.6995, 0.3989)  2 Au 2.94, 2 Cd 3.11
Au (0.8254, 0.8254, 0.6508)  3 Cd 2.80-2.93, 2 Pb 2.94
Cd (0.6990, 0.1990, 0.3981)  2 Au 2.93, 2 Cd 3.11
Cd (0.0484, 0.0484, 0.0967)  1 Au 2.80, 2 Pb 3.11, 2 Cd 3.11
Rb (0.4399, 0.4399, 0.8798)  8 Cd 3.75-4.08, 4 Au 3.77, 4 Pb 3.89-4.09

Output
ΔH_f (0 K)	-0.15	eV per atom
polymorph energy (0 for the lowest one)	0	meV/atom
magnetic moment	0.00	Bohr magnetons per cell
symmetry	No. 44

Entry 3:
A relaxed RbCdPbAu crystal, computed with PBE.

Unit cell a=4.9468 b=4.9468 c=7.1755 alpha=69.84 beta=69.84 gamma=60.00
Last column: nearest neighbours and their distance in Å.
Fractional coordinates of all 4 atoms:
Pb (0.0098, 0.0098, 0.9705)  3 Au 3.04, 3 Cd 3.12
Au (0.6243, 0.6243, 0.1270)  3 Cd 2.86, 3 Pb 3.04
Cd (0.2795, 0.2795, 0.1615)  3 Au 2.86, 3 Pb 3.12
Rb (0.8122, 0.8122, 0.5633)  4 Au 3.71-4.05, 3 Cd 3.89, 4 Pb 3.90-3.92

Output
ΔH_f (0 K)	-0.17	eV per atom
magnetic moment	0.00	Bohr magnetons per cell
symmetry	No. 160

no.,DOS at the Fermi energy (states/eV/f.u.)
1,6.73
2,1.37
3,1.73